1.
Computed, not measured: a geometry-optimized BaMg3Te structure at the PBE-GGA level of DFT.

Output
Final energy ... -1.89 eV per atom
Magnetization ... 0.00 μB per formula unit
Calculated volume ... 37.89 A^3/atom
Uncorrected formation energy ... 0.41 eV per formula unit

abc: 5.743 5.743 5.743
angles: 90.00 90.00 90.00
Positions (direct):
Ba 0.000 0.000 0.000
Mg 0.000 0.500 0.500
Mg 0.500 0.000 0.500
Mg 0.500 0.500 0.000
Te 0.500 0.500 0.500

2.
Computed, not measured: a geometry-optimized TlIn3Pd6 structure at the PBE-GGA level of DFT.

Output
Final energy ... -4.57 eV per atom
Magnetization ... 0.00 μB per formula unit
Calculated volume ... 17.70 A^3/atom
Energy of formation from the pure elements ... -0.397 eV per atom

abc: 8.267 4.510 9.731
angles: 90.00 102.69 90.00
Positions (direct):
Tl 0.060 0.250 0.386
Tl 0.940 0.750 0.614
In 0.235 0.250 0.017
In 0.351 0.750 0.806
In 0.458 0.250 0.606
In 0.542 0.750 0.394
In 0.649 0.250 0.194
In 0.765 0.750 0.983
Pd 0.065 0.750 0.906
Pd 0.152 0.750 0.203
Pd 0.162 0.250 0.709
Pd 0.260 0.750 0.512
Pd 0.367 0.250 0.304
Pd 0.455 0.750 0.095
Pd 0.545 0.250 0.905
Pd 0.633 0.750 0.696
Pd 0.740 0.250 0.488
Pd 0.838 0.750 0.291
Pd 0.848 0.250 0.797
Pd 0.935 0.250 0.094

3.
Computed, not measured: a geometry-optimized DyErRuAu structure at the PBE-GGA level of DFT.

Output
Final energy ... -6.03 eV per atom
Magnetization ... 0.00 μB per formula unit
Calculated volume ... 21.15 A^3/atom
Energy of formation from the pure elements ... -0.604 eV per atom

abc: 4.927 4.927 4.927
angles: 60.00 60.00 60.00
Positions (direct):
Dy 0.000 0.000 0.000
Er 0.500 0.500 0.500
Ru 0.750 0.750 0.750
Au 0.250 0.250 0.250

4.
Computed, not measured: a geometry-optimized NaLi6Zn structure at the PBE-GGA level of DFT.

Output
Final energy ... -1.78 eV per atom
Magnetization ... 0.00 μB per formula unit
Calculated volume ... 20.61 A^3/atom
Energy of formation from the pure elements ... -0.019 eV per atom

abc: 7.198 7.198 3.182
angles: 90.00 90.00 90.00
Positions (direct):
Na 0.000 0.000 0.000
Li 0.000 0.500 0.000
Li 0.285 0.285 0.500
Li 0.285 0.715 0.500
Li 0.500 0.000 0.000
Li 0.715 0.285 0.500
Li 0.715 0.715 0.500
Zn 0.500 0.500 0.000

5.
Computed, not measured: a geometry-optimized Cd2CI structure at the PBE-GGA level of DFT.

Output
Final energy ... -1.56 eV per atom
Magnetization ... 1.88 μB per formula unit
Calculated volume ... 24.37 A^3/atom
Uncorrected formation energy ... 6.37 eV per formula unit

abc: 5.166 5.166 5.166
angles: 60.00 60.00 60.00
Positions (direct):
Cd 0.250 0.250 0.250
Cd 0.750 0.750 0.750
C 0.000 0.000 0.000
I 0.500 0.500 0.500

6.
Computed, not measured: a geometry-optimized SmPb2BrO4 structure at the PBE-GGA level of DFT.

Output
Final energy ... -5.84 eV per atom
Magnetization ... 0.00 μB per formula unit
Calculated volume ... 18.84 A^3/atom
Uncorrected formation energy ... -13.10 eV per formula unit

abc: 4.037 4.037 9.247
angles: 90.00 90.00 90.00
Positions (direct):
Sm 0.000 0.000 0.000
Pb 0.500 0.500 0.266
Pb 0.500 0.500 0.734
Br 0.000 0.000 0.500
O 0.000 0.500 0.148
O 0.000 0.500 0.852
O 0.500 0.000 0.148
O 0.500 0.000 0.852